1.
The following is a PBE-GGA calculation of a relaxed ZnMo2N crystal, from the Alexandria database.

The structure in extended XYZ format:
```
4
Lattice="-0.040 -0.946 2.716 -0.757 -2.702 0.634 6.688 -3.370 0.538" Properties=species:S:1:pos:R:3 pbc="T T T"
Mo 1.053 -1.643 1.022
Mo 5.368 -2.938 0.628
N -0.526 -2.440 2.238
Zn 2.942 -3.507 1.944
```

Values from the calculation:
energy relative to the lowest polymorph listed for this composition = 0.000 eV per atom

***

2.
The following is a PBE-GGA calculation of a relaxed ZrZnMo2N crystal, from the Alexandria database.

The structure in extended XYZ format:
```
5
Lattice="-1.449 -3.339 -1.887 4.150 -0.994 -1.428 0.643 -2.200 3.400" Properties=species:S:1:pos:R:3 pbc="T T T"
Zr 2.075 -0.497 -0.714
Mo 0.321 -1.100 1.700
Mo -0.724 -1.670 -0.944
N 0.000 0.000 0.000
Zn 1.672 -3.267 0.042
```

Values from the calculation:
calculated total energy = -0.6082 Ry per atom

***

3.
The following is a PBE-GGA calculation of a relaxed ZrMoN3 crystal, from the Alexandria database.

The structure in extended XYZ format:
```
10
Lattice="-1.501 0.787 -3.016 -5.660 -1.251 2.483 2.224 5.553 2.325" Properties=species:S:1:pos:R:3 pbc="T T T"
Zr -2.738 3.516 2.275
Zr -2.199 1.573 -0.482
Mo -0.626 4.444 -0.524
Mo -4.311 0.645 2.317
N -4.317 5.096 1.483
N -4.648 2.707 3.005
N -2.634 1.362 1.664
N -0.620 -0.007 0.310
N -2.302 3.728 0.128
N -0.289 2.382 -1.212
```

Values from the calculation:
calculated total energy = -0.6932 Ry per atom

***

4.
The following is a PBE-GGA calculation of a relaxed ZrMoN3 crystal, from the Alexandria database.

The structure in extended XYZ format:
```
20
Lattice="-1.270 -4.335 3.740 1.723 -5.716 -3.491 7.300 -3.245 2.543" Properties=species:S:1:pos:R:3 pbc="T T T"
Zr 2.770 -6.618 -0.125
Zr 4.982 -6.678 2.917
Zr 6.236 -10.998 2.377
Zr 1.516 -2.298 0.415
N 6.303 -7.451 0.200
N 3.907 -4.855 3.822
N 4.714 -7.336 4.978
N 2.221 -4.356 0.000
N 3.038 -5.960 -2.186
N 3.448 -7.872 1.655
N 4.304 -5.424 1.137
N 1.450 -5.845 2.591
N 0.949 -7.616 0.343
N 3.845 -8.440 -1.030
N 6.803 -5.680 2.448
N 5.531 -8.939 2.792
Mo 6.070 -4.791 0.879
Mo 2.663 -4.628 2.099
Mo 1.682 -8.504 1.912
Mo 5.089 -8.667 0.693
```

Values from the calculation:
calculated total energy = -0.7025 Ry per atom

***

5.
The following is a PBE-GGA calculation of a relaxed ZrMo3N crystal, from the Alexandria database.

The structure in extended XYZ format:
```
5
Lattice="-0.207 2.887 -3.075 -3.687 1.371 1.535 2.048 2.760 2.453" Properties=species:S:1:pos:R:3 pbc="T T T"
Mo -0.103 1.443 -1.538
Mo -1.844 0.686 0.767
Mo 1.024 1.380 1.227
Zr -0.923 3.509 0.457
N 0.000 0.000 0.000
```

Values from the calculation:
energy relative to the lowest polymorph listed for this composition = 0.000 eV per atom

***

6.
The following is a PBE-GGA calculation of a relaxed ZrMoN2 crystal, from the Alexandria database.

The structure in extended XYZ format:
```
16
Lattice="-3.034 -0.021 -0.486 0.622 -4.059 -3.715 -1.178 -7.201 7.670" Properties=species:S:1:pos:R:3 pbc="T T T"
N -0.847 -3.204 0.568
N -2.692 -4.727 2.444
N -3.062 -6.100 4.815
N -2.743 -8.077 2.901
N -1.794 -3.166 -3.237
N -0.897 -6.554 1.025
N -1.795 -8.115 6.707
N -0.527 -5.181 -1.346
Zr -1.190 -9.823 2.997
Zr -2.399 -1.458 0.472
Zr -1.268 -6.370 3.339
Zr -2.321 -4.911 0.130
Mo -0.514 -3.001 -1.518
Mo -1.192 -3.214 2.728
Mo -2.397 -8.067 0.741
Mo -3.075 -8.280 4.988
```

Values from the calculation:
energy relative to the lowest polymorph listed for this composition = 0.000 eV per atom

***

7.
The following is a PBE-GGA calculation of a relaxed Zr3MoN crystal, from the Alexandria database.

The structure in extended XYZ format:
```
5
Lattice="4.475 0.000 0.000 0.000 4.475 0.000 0.000 0.000 4.475" Properties=species:S:1:pos:R:3 pbc="T T T"
N 0.000 0.000 0.000
Mo 2.237 2.237 2.237
Zr 2.237 0.000 0.000
Zr 0.000 2.237 0.000
Zr 0.000 0.000 2.237
```

Values from the calculation:
energy relative to the lowest polymorph listed for this composition = 0.000 eV per atom

***

8.
The following is a PBE-GGA calculation of a relaxed Zr3MoN crystal, from the Alexandria database.

The structure in extended XYZ format:
```
5
Lattice="-1.568 -4.624 -1.026 3.977 -0.698 -2.931 2.572 -1.739 3.905" Properties=species:S:1:pos:R:3 pbc="T T T"
N 2.491 -3.530 -0.026
Mo 0.000 0.000 0.000
Zr 1.286 -0.869 1.952
Zr -0.784 -2.312 -0.513
Zr 1.988 -0.349 -1.465
```

Values from the calculation:
energy relative to the lowest polymorph listed for this composition = 2.255 eV per atom

***

9.
The following is a PBE-GGA calculation of a relaxed ZrMoN2 crystal, from the Alexandria database.

The structure in extended XYZ format:
```
4
Lattice="-0.610 1.982 -2.134 -0.209 -0.882 -2.834 -5.980 -0.610 -0.932" Properties=species:S:1:pos:R:3 pbc="T T T"
N -4.401 -0.340 -1.132
N -1.836 0.099 -1.458
Mo -3.423 0.241 -2.947
Zr -6.518 0.124 -4.244
```

Values from the calculation:
energy relative to the lowest polymorph listed for this composition = 0.257 eV per atom

***

10.
The following is a PBE-GGA calculation of a relaxed Zr3Mo5N12 crystal, from the Alexandria database.

The structure in extended XYZ format:
```
80
Lattice="-10.553 -0.650 -2.240 5.594 -5.620 -7.344 1.853 -4.079 9.835" Properties=species:S:1:pos:R:3 pbc="T T T"
N -6.005 -1.475 0.463
N -3.565 -8.397 -0.333
N -0.939 -4.498 -5.150
N 4.460 -6.451 2.365
N -4.984 -4.657 -1.490
N -3.909 -4.517 -4.156
N -3.496 -5.782 -8.175
N -0.965 -7.178 0.123
N -7.566 -3.898 -2.114
N 0.804 -5.831 4.408
N 0.460 -1.951 0.585
N 1.706 -4.332 -4.595
N -2.166 -5.850 5.402
N 3.447 -5.664 4.975
N -2.533 -3.378 3.974
N 0.390 -4.567 8.427
N -0.079 -3.540 5.966
N 3.677 -9.042 2.434
N 0.378 -4.879 -0.613
N 1.782 -6.292 -2.448
N -4.249 -7.593 2.650
N -6.552 -4.685 -4.724
N -4.888 -4.057 2.699
N 2.900 -8.873 -0.211
N 4.832 -6.698 -3.190
N 0.917 -2.975 3.050
N -6.782 -1.306 -2.182
N -3.483 -5.470 0.865
N -1.127 -4.780 2.132
N 3.671 -6.278 -0.276
N -4.022 -7.374 -2.799
N -1.978 -5.568 -1.880
N 1.878 -5.691 1.742
N -0.573 -6.970 -3.722
N -7.937 -3.650 3.442
N -4.203 -2.065 -1.546
N 0.430 -8.588 -1.720
N -4.812 -6.016 4.847
N -1.502 -2.911 -2.960
N 4.364 -5.683 -5.657
N -2.141 -3.171 0.128
N -1.604 -7.438 3.212
N 1.098 -8.284 1.798
N -6.776 -4.070 0.528
N -7.470 -4.666 5.909
N -3.027 -6.809 -5.714
N 1.143 -2.755 -2.398
N -3.536 -1.760 1.972
Mo -5.594 -4.759 6.008
Mo -1.238 -6.343 -5.367
Mo -5.276 -0.325 -1.120
Mo 0.000 0.000 0.000
Mo -2.479 -3.135 -4.792
Mo 2.488 -5.590 -5.756
Mo 0.618 -4.819 2.833
Mo 2.797 -2.810 -3.672
Mo 3.724 -4.849 1.246
Mo -0.778 -8.190 1.698
Mo -6.677 -4.523 2.351
Mo 3.571 -5.826 -2.099
Mo -3.723 -5.529 -2.581
Mo -1.868 -4.005 5.618
Mo -4.350 -2.364 3.798
Mo 1.242 -3.208 -0.575
Mo -1.553 -5.174 0.126
Mo -2.327 -2.158 -1.446
Mo 0.927 -2.040 4.917
Mo -4.348 -7.140 0.827
Zr 0.002 -4.776 -2.971
Zr -4.807 -5.293 -6.238
Zr -1.862 -7.954 -1.958
Zr 1.396 -7.008 -0.201
Zr 2.480 -7.244 3.456
Zr 1.701 -5.055 6.490
Zr 4.965 -8.058 0.671
Zr -8.071 -2.291 -0.419
Zr -4.502 -3.341 0.452
Zr -5.585 -3.105 -3.204
Zr -3.108 -5.573 3.223
Zr -1.244 -2.395 2.210
```

Values from the calculation:
calculated total energy = -0.7005 Ry per atom

***

11.
The following is a PBE-GGA calculation of a relaxed ZrMo3N crystal, from the Alexandria database.

The structure in extended XYZ format:
```
5
Lattice="-2.472 0.638 -4.056 2.242 -3.757 -1.957 -3.440 -2.907 1.640" Properties=species:S:1:pos:R:3 pbc="T T T"
Mo -1.720 -1.453 0.820
Mo -1.236 0.319 -2.028
Mo 1.121 -1.879 -0.979
Zr 0.000 0.000 0.000
N -1.836 -3.013 -2.187
```

Values from the calculation:
energy relative to the lowest polymorph listed for this composition = 3.424 eV per atom

***

12.
The following is a PBE-GGA calculation of a relaxed Zr5MoN6 crystal, from the Alexandria database.

The structure in extended XYZ format:
```
12
Lattice="4.923 0.492 2.634 1.226 5.406 0.656 0.166 0.246 5.607" Properties=species:S:1:pos:R:3 pbc="T T T"
N 3.096 4.414 5.315
N 1.382 4.168 2.601
N 4.932 1.976 6.297
N 4.603 4.434 2.463
N 3.218 1.730 3.583
N 1.545 1.463 0.827
Zr 3.390 0.492 5.499
Zr 1.698 0.246 2.743
Zr 3.074 2.949 1.645
Zr 1.516 2.949 4.558
Zr 4.799 3.195 4.339
Mo 0.000 0.000 0.000
```

Values from the calculation:
calculated total energy = -0.7385 Ry per atom

***

Which formula does entry 11 have?
ZrMo3N

***

Repeat the fourth record exactly.
The following is a PBE-GGA calculation of a relaxed ZrMoN3 crystal, from the Alexandria database.

The structure in extended XYZ format:
```
20
Lattice="-1.270 -4.335 3.740 1.723 -5.716 -3.491 7.300 -3.245 2.543" Properties=species:S:1:pos:R:3 pbc="T T T"
Zr 2.770 -6.618 -0.125
Zr 4.982 -6.678 2.917
Zr 6.236 -10.998 2.377
Zr 1.516 -2.298 0.415
N 6.303 -7.451 0.200
N 3.907 -4.855 3.822
N 4.714 -7.336 4.978
N 2.221 -4.356 0.000
N 3.038 -5.960 -2.186
N 3.448 -7.872 1.655
N 4.304 -5.424 1.137
N 1.450 -5.845 2.591
N 0.949 -7.616 0.343
N 3.845 -8.440 -1.030
N 6.803 -5.680 2.448
N 5.531 -8.939 2.792
Mo 6.070 -4.791 0.879
Mo 2.663 -4.628 2.099
Mo 1.682 -8.504 1.912
Mo 5.089 -8.667 0.693
```

Values from the calculation:
calculated total energy = -0.7025 Ry per atom

***

Number 7 is which compound?
Zr3MoN